Below is BeCo after structural relaxation, with properties calculated at the PBE-GGA level.

Mass density = 6.2 g cm⁻³
DFT formation energy = -12 kJ/mol of atoms
E_tot = -5.54 eV/atom
Total magnetization = 2.77 μB per cell
Fermi-level density of states = 1.067 states/eV/atom

a = 4.1811 Å, b = 4.1811 Å, c = 4.1811 Å
α = 90.00°, β = 90.00°, γ = 90.00°
Closest atoms and distances in Å follow each position.
Sites, in units of the cell vectors:
Be (0.0996, 0.5996, 0.9004)  7 Co 2.15-2.27
Be (0.4004, 0.4004, 0.4004)  7 Co 2.15-2.27
Be (0.9004, 0.0996, 0.5996)  7 Co 2.15-2.27
Be (0.5996, 0.9004, 0.0996)  7 Co 2.15-2.27
Co (0.3959, 0.8959, 0.6041)  7 Be 2.15-2.27
Co (0.1041, 0.1041, 0.1041)  7 Be 2.15-2.27
Co (0.6041, 0.3959, 0.8959)  7 Be 2.15-2.27
Co (0.8959, 0.6041, 0.3959)  7 Be 2.15-2.27